VASP calculation (PBE-GGA) on a geometry-optimized CoNi3 structure.

Unit cell a=4.9576 b=4.9576 c=4.0332 alpha=90.00 beta=90.00 gamma=120.00
Closest atoms and distances in Å follow each position.
Space group P6_3/mmc (No. 194)
Asymmetric unit:
1 Co 0.3333 0.6667 0.2500  12 Ni 2.47-2.48
2 Ni 0.1676 0.3352 0.7500  8 Ni 2.47-2.49, 4 Co 2.47-2.48

Calculated total energy = -5.936 eV per atom
E_form = 0.02 eV/atom
Size of the total moment = 3.61 μB per formula unit